Run w
Material: AlSiI2N
Method: DFT, PBE-GGA
State: optimized geometry

Symmetry: No. 123
Calculated density: 4598 kg/m³

Unit cell a=5.718 b=5.718 c=3.567 alpha=90.00 beta=90.00 gamma=90.00
Atoms (fractional coordinates):
I 0.000 0.500 0.000
I 0.500 0.000 0.000
Si 0.500 0.500 0.500
Al 0.000 0.000 0.000
N 0.000 0.000 0.500

---

Run x
Material: AlSiI2N
Method: DFT, PBE-GGA
State: optimized geometry

Symmetry: No. 123
Calculated density: 4402 kg/m³

Unit cell a=6.024 b=6.024 c=3.356 alpha=90.00 beta=90.00 gamma=90.00
Atoms (fractional coordinates):
N 0.000 0.000 0.500
I 0.000 0.500 0.000
I 0.500 0.000 0.000
Al 0.500 0.500 0.500
Si 0.000 0.000 0.000

---

Of them, run x has the highest stability.

---

Run w
Material: AlSiIN2
Method: DFT, PBE-GGA
State: optimized geometry

Symmetry: No. 123
Calculated density: 4259 kg/m³

Unit cell a=3.704 b=3.704 c=5.968 alpha=90.00 beta=90.00 gamma=90.00
Each line ends with the local moment (μB).
Atoms (fractional coordinates):
N 0.500 0.000 0.000  0.17
N 0.000 0.500 0.000  0.17
Al 0.500 0.500 0.500  0.00
Si 0.000 0.000 0.000  -0.01
I 0.000 0.000 0.500  0.00

---

Run x
Material: AlSiIN2
Method: DFT, PBE-GGA
State: optimized geometry

Symmetry: No. 123
Calculated density: 4060 kg/m³

Unit cell a=3.847 b=3.847 c=5.803 alpha=90.00 beta=90.00 gamma=90.00
Each line ends with the local moment (μB).
Atoms (fractional coordinates):
I 0.000 0.000 0.500  0.01
N 0.500 0.000 0.000  0.09
N 0.000 0.500 0.000  0.09
Al 0.000 0.000 0.000  0.00
Si 0.500 0.500 0.500  -0.01

---

Run y
Material: AlSiIN2
Method: DFT, PBE-GGA
State: optimized geometry

Symmetry: No. 123
Calculated density: 4016 kg/m³

Unit cell a=4.005 b=5.411 c=4.005 alpha=90.00 beta=90.00 gamma=90.00
Atoms (fractional coordinates):
Si 0.000 0.500 0.000
N 0.000 0.000 0.500
N 0.500 0.000 0.000
Al 0.500 0.500 0.500
I 0.000 0.000 0.000

---

Of them, run w has the highest stability.

---

Run w
Material: TaAlIN2
Method: DFT, PBE-GGA
State: optimized geometry

Symmetry: No. 123
Calculated density: 7591 kg/m³

Unit cell a=3.882 b=3.882 c=5.267 alpha=90.00 beta=90.00 gamma=90.00
Atoms (fractional coordinates):
N 0.000 0.500 0.000
N 0.500 0.000 0.000
I 0.000 0.000 0.500
Al 0.000 0.000 0.000
Ta 0.500 0.500 0.500

---

Run x
Material: TaAlIN2
Method: DFT, PBE-GGA
State: optimized geometry

Symmetry: No. 123
Calculated density: 6207 kg/m³

Unit cell a=4.103 b=4.103 c=5.765 alpha=90.00 beta=90.00 gamma=90.00
Atoms (fractional coordinates):
N 0.500 0.000 0.000
N 0.000 0.500 0.000
Ta 0.000 0.000 0.000
Al 0.500 0.500 0.500
I 0.000 0.000 0.500

---

Of them, run x has the highest stability.

---

Run w
Material: TaAlI2N
Method: DFT, PBE-GGA
State: optimized geometry

Symmetry: No. 123
Calculated density: 7047 kg/m³

Unit cell a=5.682 b=5.682 c=3.473 alpha=90.00 beta=90.00 gamma=90.00
Each line ends with the local moment (μB).
Atoms (fractional coordinates):
I 0.000 0.500 0.000  -0.05
I 0.500 0.000 0.000  -0.05
Ta 0.500 0.500 0.500  1.58
N 0.000 0.000 0.500  0.00
Al 0.000 0.000 0.000  0.01

---

Run x
Material: TaAlI2N
Method: DFT, PBE-GGA
State: optimized geometry

Symmetry: No. 123
Calculated density: 6040 kg/m³

Unit cell a=5.759 b=5.759 c=3.943 alpha=90.00 beta=90.00 gamma=90.00
Each line ends with the local moment (μB).
Atoms (fractional coordinates):
Al 0.500 0.500 0.500  0.00
I 0.000 0.500 0.000  0.00
I 0.500 0.000 0.000  0.00
N 0.000 0.000 0.500  -0.01
Ta 0.000 0.000 0.000  0.15

---

Of them, run x has the highest stability.

---

Run w
Material: AlTeIN2
Method: DFT, PBE-GGA
State: optimized geometry

Symmetry: No. 123
Calculated density: 4906 kg/m³

Unit cell a=4.119 b=4.119 c=6.175 alpha=90.00 beta=90.00 gamma=90.00
Each line ends with the local moment (μB).
Atoms (fractional coordinates):
I 0.000 0.000 0.500  0.03
N 0.500 0.000 0.000  1.01
N 0.000 0.500 0.000  1.01
Te 0.500 0.500 0.500  0.18
Al 0.000 0.000 0.000  -0.04

---

Run x
Material: AlTeIN2
Method: DFT, PBE-GGA
State: optimized geometry

Symmetry: No. 123
Calculated density: 3897 kg/m³

Unit cell a=4.143 b=4.143 c=7.683 alpha=90.00 beta=90.00 gamma=90.00
Atoms (fractional coordinates):
N 0.000 0.500 0.000
N 0.500 0.000 0.000
Al 0.500 0.500 0.500
I 0.000 0.000 0.500
Te 0.000 0.000 0.000

---

Of them, run w has the highest stability.

---

Run w
Material: AlTeIN2
Method: DFT, PBE-GGA
State: optimized geometry

Symmetry: No. 123
Calculated density: 5133 kg/m³

Unit cell a=4.024 b=4.024 c=6.182 alpha=90.00 beta=90.00 gamma=90.00
Atoms (fractional coordinates):
N 0.500 0.000 0.000
N 0.000 0.500 0.000
I 0.500 0.500 0.500
Te 0.000 0.000 0.500
Al 0.000 0.000 0.000

---

Run x
Material: AlTeIN2
Method: DFT, PBE-GGA
State: optimized geometry

Symmetry: No. 123
Calculated density: 4068 kg/m³

Unit cell a=4.011 b=4.011 c=7.852 alpha=90.00 beta=90.00 gamma=90.00
Atoms (fractional coordinates):
N 0.500 0.000 0.000
N 0.000 0.500 0.000
Te 0.000 0.000 0.500
I 0.000 0.000 0.000
Al 0.500 0.500 0.500

---

Of them, run w has the highest stability.

---

Run w
Material: TiAlIN2
Method: DFT, PBE-GGA
State: optimized geometry

Symmetry: No. 123
Calculated density: 4162 kg/m³

Unit cell a=3.999 b=3.999 c=5.733 alpha=90.00 beta=90.00 gamma=90.00
Each line ends with the local moment (μB).
Atoms (fractional coordinates):
N 0.000 0.500 0.000  0.15
N 0.500 0.000 0.000  0.15
I 0.000 0.000 0.500  0.00
Ti 0.000 0.000 0.000  -0.05
Al 0.500 0.500 0.500  0.00

---

Run x
Material: TiAlIN2
Method: DFT, PBE-GGA
State: optimized geometry

Symmetry: No. 123
Calculated density: 4714 kg/m³

Unit cell a=3.831 b=3.831 c=5.514 alpha=90.00 beta=90.00 gamma=90.00
Atoms (fractional coordinates):
N 0.500 0.000 0.000
N 0.000 0.500 0.000
Ti 0.500 0.500 0.500
Al 0.000 0.000 0.000
I 0.000 0.000 0.500

---

Of them, run w has the highest stability.

---

Run w
Material: AlVIN2
Method: DFT, PBE-GGA
State: optimized geometry

Symmetry: No. 123
Calculated density: 4786 kg/m³

Unit cell a=3.778 b=3.778 c=5.660 alpha=90.00 beta=90.00 gamma=90.00
Each line ends with the local moment (μB).
Atoms (fractional coordinates):
N 0.500 0.000 0.000  -0.06
N 0.000 0.500 0.000  -0.06
V 0.500 0.500 0.500  0.13
Al 0.000 0.000 0.000  0.00
I 0.000 0.000 0.500  0.00

---

Run x
Material: AlVIN2
Method: DFT, PBE-GGA
State: optimized geometry

Symmetry: No. 123
Calculated density: 4623 kg/m³

Unit cell a=3.903 b=3.903 c=5.491 alpha=90.00 beta=90.00 gamma=90.00
Atoms (fractional coordinates):
V 0.000 0.000 0.000
I 0.000 0.000 0.500
Al 0.500 0.500 0.500
N 0.500 0.000 0.000
N 0.000 0.500 0.000

---

Of them, run x has the highest stability.

---

Run w
Material: AlWIN2
Method: DFT, PBE-GGA
State: optimized geometry

Symmetry: No. 123
Calculated density: 6559 kg/m³

Unit cell a=4.020 b=4.020 c=5.729 alpha=90.00 beta=90.00 gamma=90.00
Atoms (fractional coordinates):
W 0.000 0.000 0.000
Al 0.500 0.500 0.500
I 0.000 0.000 0.500
N 0.500 0.000 0.000
N 0.000 0.500 0.000

---

Run x
Material: AlWIN2
Method: DFT, PBE-GGA
State: optimized geometry

Symmetry: No. 123
Calculated density: 7401 kg/m³

Unit cell a=3.905 b=3.905 c=5.380 alpha=90.00 beta=90.00 gamma=90.00
Each line ends with the local moment (μB).
Atoms (fractional coordinates):
I 0.000 0.000 0.500  0.02
N 0.500 0.000 0.000  -0.61
N 0.000 0.500 0.000  -0.61
Al 0.000 0.000 0.000  0.02
W 0.500 0.500 0.500  2.21

---

Of them, run w has the highest stability.

---

Run w
Material: AlZnI2N
Method: DFT, PBE-GGA
State: optimized geometry

Symmetry: No. 123
Calculated density: 4415 kg/m³

Unit cell a=5.914 b=5.914 c=3.874 alpha=90.00 beta=90.00 gamma=90.00
Each line ends with the local moment (μB).
Atoms (fractional coordinates):
I 0.000 0.500 0.000  0.10
I 0.500 0.000 0.000  0.10
Zn 0.000 0.000 0.000  0.02
N 0.000 0.000 0.500  1.10
Al 0.500 0.500 0.500  0.01

---

Run x
Material: AlZnI2N
Method: DFT, PBE-GGA
State: optimized geometry

Symmetry: No. 123
Calculated density: 5003 kg/m³

Unit cell a=5.776 b=5.776 c=3.583 alpha=90.00 beta=90.00 gamma=90.00
Atoms (fractional coordinates):
I 0.500 0.000 0.000
I 0.000 0.500 0.000
Zn 0.500 0.500 0.500
N 0.000 0.000 0.500
Al 0.000 0.000 0.000

---

Of them, run x has the highest stability.

---

Run w
Material: ZrAlIN2
Method: DFT, PBE-GGA
State: optimized geometry

Symmetry: No. 123
Calculated density: 4143 kg/m³

Unit cell a=4.249 b=4.249 c=6.063 alpha=90.00 beta=90.00 gamma=90.00
Each line ends with the local moment (μB).
Atoms (fractional coordinates):
Zr 0.000 0.000 0.000  -0.03
I 0.000 0.000 0.500  0.01
Al 0.500 0.500 0.500  0.01
N 0.000 0.500 0.000  0.24
N 0.500 0.000 0.000  0.24

---

Run x
Material: ZrAlIN2
Method: DFT, PBE-GGA
State: optimized geometry

Symmetry: No. 123
Calculated density: 5538 kg/m³

Unit cell a=3.967 b=3.967 c=5.205 alpha=90.00 beta=90.00 gamma=90.00
Atoms (fractional coordinates):
N 0.500 0.000 0.000
N 0.000 0.500 0.000
I 0.000 0.000 0.500
Zr 0.500 0.500 0.500
Al 0.000 0.000 0.000

---

Of them, run w has the highest stability.

---

Run w
Material: NaAl2I
Method: DFT, PBE-GGA
State: optimized geometry

Symmetry: No. 122
Calculated density: 2888 kg/m³

Unit cell a=8.880 b=8.880 c=6.947 alpha=50.27 beta=50.27 gamma=90.00
Atoms (fractional coordinates):
Al 0.630 0.125 0.250
Al 0.375 0.370 0.750
Al 0.875 0.880 0.750
Al 0.120 0.625 0.250
I 0.750 0.250 0.500
I 0.000 0.000 0.000
Na 0.500 0.500 0.000
Na 0.250 0.750 0.500

---

Run x
Material: NaAl2I
Method: DFT, PBE-GGA
State: optimized geometry

Symmetry: No. 225
Calculated density: 2885 kg/m³

Unit cell a=5.495 b=5.495 c=5.495 alpha=60.00 beta=60.00 gamma=60.00
Atoms (fractional coordinates):
Al 0.250 0.250 0.250
Al 0.750 0.750 0.750
Na 0.000 0.000 0.000
I 0.500 0.500 0.500

---

Of them, run w has the highest stability.